[1]
Density functional theory data (PBE-GGA) for ErH2 after structural relaxation.

Summary:
electronic total energy	-4.469	eV per atom
size of the total moment	0.001	μB per cell

The structure in CIF format:
```
data_ErH2
_chemical_formula_sum 'Er4 H8'
_cell_length_a 5.088
_cell_length_b 5.088
_cell_length_c 5.088
_cell_angle_alpha 90.00
_cell_angle_beta 90.00
_cell_angle_gamma 90.00
_symmetry_space_group_name_H-M 'P 1'
_symmetry_Int_Tables_number 1
loop_
_symmetry_equiv_pos_as_xyz
'x,y,z'
loop_
_atom_site_label
_atom_site_type_symbol
_atom_site_fract_x
_atom_site_fract_y
_atom_site_fract_z
_atom_site_occupancy
Er1 Er 0.000 0.000 0.000 1
Er2 Er 0.000 0.500 0.500 1
Er3 Er 0.500 0.000 0.500 1
Er4 Er 0.500 0.500 0.000 1
H1 H 0.250 0.250 0.250 1
H2 H 0.250 0.250 0.750 1
H3 H 0.250 0.750 0.250 1
H4 H 0.250 0.750 0.750 1
H5 H 0.750 0.250 0.250 1
H6 H 0.750 0.250 0.750 1
H7 H 0.750 0.750 0.250 1
H8 H 0.750 0.750 0.750 1
```



[2]
Density functional theory data (PBE-GGA) for Er2H after structural relaxation.

Summary:
distance to the lowest polymorph of the same formula	163	meV/atom
size of the total moment	0.014	μB per cell

The structure in CIF format:
```
data_Er2H
_chemical_formula_sum 'Er4 H2'
_cell_length_a 6.881
_cell_length_b 6.881
_cell_length_c 6.881
_cell_angle_alpha 60.00
_cell_angle_beta 60.00
_cell_angle_gamma 60.00
_symmetry_space_group_name_H-M 'P 1'
_symmetry_Int_Tables_number 1
loop_
_symmetry_equiv_pos_as_xyz
'x,y,z'
loop_
_atom_site_label
_atom_site_type_symbol
_atom_site_fract_x
_atom_site_fract_y
_atom_site_fract_z
_atom_site_occupancy
Er1 Er 0.000 0.000 0.000 1
Er2 Er 0.000 0.000 0.500 1
Er3 Er 0.000 0.500 0.000 1
Er4 Er 0.500 0.000 0.000 1
H1 H 0.125 0.125 0.125 1
H2 H 0.875 0.875 0.875 1
```



[3]
Density functional theory data (PBE-GGA) for ErH after structural relaxation.

Summary:
electronic total energy	-4.094	eV per atom
size of the total moment	0.000	μB per cell

The structure in CIF format:
```
data_ErH
_chemical_formula_sum 'Er1 H1'
_cell_length_a 3.266
_cell_length_b 3.266
_cell_length_c 3.197
_cell_angle_alpha 90.00
_cell_angle_beta 90.00
_cell_angle_gamma 120.00
_symmetry_space_group_name_H-M 'P 1'
_symmetry_Int_Tables_number 1
loop_
_symmetry_equiv_pos_as_xyz
'x,y,z'
loop_
_atom_site_label
_atom_site_type_symbol
_atom_site_fract_x
_atom_site_fract_y
_atom_site_fract_z
_atom_site_occupancy
Er1 Er 0.000 0.000 0.000 1
H1 H 0.667 0.333 0.500 1
```



Question: The lowest size of the total moment belongs to which entry?
Answer: ErH



What did the second record say?
Density functional theory data (PBE-GGA) for Er2H after structural relaxation.

Summary:
distance to the lowest polymorph of the same formula	163	meV/atom
size of the total moment	0.014	μB per cell

The structure in CIF format:
```
data_Er2H
_chemical_formula_sum 'Er4 H2'
_cell_length_a 6.881
_cell_length_b 6.881
_cell_length_c 6.881
_cell_angle_alpha 60.00
_cell_angle_beta 60.00
_cell_angle_gamma 60.00
_symmetry_space_group_name_H-M 'P 1'
_symmetry_Int_Tables_number 1
loop_
_symmetry_equiv_pos_as_xyz
'x,y,z'
loop_
_atom_site_label
_atom_site_type_symbol
_atom_site_fract_x
_atom_site_fract_y
_atom_site_fract_z
_atom_site_occupancy
Er1 Er 0.000 0.000 0.000 1
Er2 Er 0.000 0.000 0.500 1
Er3 Er 0.000 0.500 0.000 1
Er4 Er 0.500 0.000 0.000 1
H1 H 0.125 0.125 0.125 1
H2 H 0.875 0.875 0.875 1
```



Question: What is the formula in the second record?
Answer: Er2H



What did the second record say?
Density functional theory data (PBE-GGA) for Er2H after structural relaxation.

Summary:
distance to the lowest polymorph of the same formula	163	meV/atom
size of the total moment	0.014	μB per cell

The structure in CIF format:
```
data_Er2H
_chemical_formula_sum 'Er4 H2'
_cell_length_a 6.881
_cell_length_b 6.881
_cell_length_c 6.881
_cell_angle_alpha 60.00
_cell_angle_beta 60.00
_cell_angle_gamma 60.00
_symmetry_space_group_name_H-M 'P 1'
_symmetry_Int_Tables_number 1
loop_
_symmetry_equiv_pos_as_xyz
'x,y,z'
loop_
_atom_site_label
_atom_site_type_symbol
_atom_site_fract_x
_atom_site_fract_y
_atom_site_fract_z
_atom_site_occupancy
Er1 Er 0.000 0.000 0.000 1
Er2 Er 0.000 0.000 0.500 1
Er3 Er 0.000 0.500 0.000 1
Er4 Er 0.500 0.000 0.000 1
H1 H 0.125 0.125 0.125 1
H2 H 0.875 0.875 0.875 1
```